No. 1
Density functional theory data (GGA-PBE) for Na2Ge5Pt3 after structural relaxation.

M_tot = 0.000 μB/atom
SG = Ibam (72)
Relative energy among the computed polymorphs = 0.009 eV per atom
Total energy = -47.65 eV/f.u.
Calculated formation energy = -8.77 kcal/mol of atoms

```
Na2Ge5Pt3
1.0
-5.1380 6.1426 3.0767
5.1380 -6.1426 3.0767
5.1380 6.1426 -3.0767
Na Ge Pt
4 10 6
Direct
0.1384 0.2327 0.3711
0.3616 0.7327 0.0943
0.6384 0.2673 0.9057
0.8616 0.7673 0.6289
0.0262 0.7500 0.2762
0.0994 0.6596 0.7590
0.2500 0.2500 0.0000
0.4006 0.1596 0.5602
0.4738 0.7500 0.7238
0.5262 0.2500 0.2762
0.5994 0.8404 0.4398
0.7500 0.7500 0.0000
0.9006 0.3404 0.2410
0.9738 0.2500 0.7238
0.1390 0.8933 0.0322
0.2500 0.7500 0.5000
0.3610 0.3933 0.7543
0.6390 0.6067 0.2457
0.7500 0.2500 0.5000
0.8610 0.1067 0.9678
```

No. 2
Density functional theory data (GGA-PBE) for Na2Ge3Pt after structural relaxation.

M_tot = 0.000 μB/atom
SG = Fmmm (69)
Total energy = -23.87 eV/f.u.
Calculated formation energy = -5.15 kcal/mol of atoms

```
Na2Ge3Pt
1.0
0.0000 4.4219 7.3690
4.2613 0.0000 7.3690
4.2613 4.4219 0.0000
Na Ge Pt
4 6 2
Direct
0.2432 0.7568 0.2432
0.2500 0.2500 0.2500
0.7500 0.7500 0.7500
0.7568 0.2432 0.7568
0.1592 0.6701 0.8408
0.3290 0.3290 0.6710
0.3299 0.8408 0.6701
0.6701 0.1592 0.3299
0.6710 0.6710 0.3290
0.8408 0.3299 0.1592
0.1662 0.1662 0.8338
0.8338 0.8338 0.1662
```

No. 3
Density functional theory data (GGA-PBE) for Na3Ge3Pt after structural relaxation.

M_tot = 0.000 μB/atom
SG = R3m (160)
Total energy = -24.31 eV/f.u.
Calculated formation energy = -1.50 kcal/mol of atoms

```
Na3Ge3Pt
1.0
4.7418 2.7377 2.0891
-4.7418 2.7377 2.0891
0.0000 -5.4753 2.0891
Na Ge Pt
3 3 1
Direct
0.2077 0.2077 0.5846
0.2077 0.5846 0.2077
0.5846 0.2077 0.2077
0.1203 0.7038 0.7038
0.7038 0.1203 0.7038
0.7038 0.7038 0.1203
0.9498 0.9498 0.9498
```

No. 4
Density functional theory data (GGA-PBE) for NaGePt3 after structural relaxation.

M_tot = 0.000 μB/atom
SG = P6_3/mmc (194)
Total energy = -25.36 eV/f.u.
Calculated formation energy = -6.02 kcal/mol of atoms

```
NaGePt3
1.0
5.7265 0.0000 0.0000
-2.8632 4.9593 0.0000
0.0000 0.0000 6.9103
Na Ge Pt
2 2 6
Direct
0.3333 0.6667 0.2500
0.6667 0.3333 0.7500
0.0000 0.0000 0.0000
0.0000 0.0000 0.5000
0.1778 0.3555 0.7500
0.1778 0.8222 0.7500
0.3555 0.1778 0.2500
0.6445 0.8222 0.7500
0.8222 0.1778 0.2500
0.8222 0.6445 0.2500
```

No. 5
Density functional theory data (GGA-PBE) for NaGe3Pt2 after structural relaxation.

M_tot = 0.000 μB/atom
SG = C2/m (12)
Relative energy among the computed polymorphs = 0.000 eV per atom
Total energy = -29.34 eV/f.u.
Calculated formation energy = -8.02 kcal/mol of atoms

```
NaGe3Pt2
1.0
8.2598 -2.0753 0.0000
8.2598 2.0753 0.0000
-4.1447 0.0000 9.9828
Na Ge Pt
3 9 6
Direct
0.0000 0.0000 0.0000
0.1643 0.1643 0.6988
0.8357 0.8357 0.3012
0.0242 0.0242 0.3490
0.2143 0.2143 0.3811
0.3170 0.3170 0.0349
0.3814 0.3814 0.8194
0.5000 0.5000 0.5000
0.6186 0.6186 0.1806
0.6830 0.6830 0.9651
0.7857 0.7857 0.6189
0.9758 0.9758 0.6510
0.1941 0.1941 0.1274
0.3627 0.3627 0.5664
0.4694 0.4694 0.2065
0.5306 0.5306 0.7935
0.6373 0.6373 0.4336
0.8059 0.8059 0.8726
```

No. 6
Density functional theory data (GGA-PBE) for Na3Ge4Pt4 after structural relaxation.

M_tot = 0.000 μB/atom
SG = I-43m (217)
Total energy = -52.29 eV/f.u.
Calculated formation energy = -11.95 kcal/mol of atoms

```
Na3Ge4Pt4
1.0
-3.8567 3.8567 3.8567
3.8567 -3.8567 3.8567
3.8567 3.8567 -3.8567
Na Ge Pt
3 4 4
Direct
0.0000 0.5000 0.5000
0.5000 0.0000 0.5000
0.5000 0.5000 0.0000
0.0000 0.0000 0.6342
0.0000 0.6342 0.0000
0.3658 0.3658 0.3658
0.6342 0.0000 0.0000
0.0000 0.0000 0.2791
0.0000 0.2791 0.0000
0.2791 0.0000 0.0000
0.7209 0.7209 0.7209
```

No. 7
Density functional theory data (GGA-PBE) for NaGePt2 after structural relaxation.

M_tot = 0.000 μB/atom
SG = I-42d (122)
Total energy = -18.60 eV/f.u.
Calculated formation energy = -3.34 kcal/mol of atoms

```
NaGePt2
1.0
-3.6802 3.6802 2.8265
3.6802 -3.6802 2.8265
3.6802 3.6802 -2.8265
Na Ge Pt
2 2 4
Direct
0.0000 0.0000 0.0000
0.7500 0.2500 0.5000
0.2500 0.7500 0.5000
0.5000 0.5000 0.0000
0.1870 0.6250 0.0620
0.3750 0.4370 0.5619
0.5631 0.1250 0.9380
0.8750 0.8131 0.4380
```

No. 8
Density functional theory data (GGA-PBE) for NaPu2Ge3Pt4 after structural relaxation.

M_tot = 1.126 μB/atom
SG = P-4m2 (115)
Total energy = -73.87 eV/f.u.
Calculated formation energy = -13.53 kcal/mol of atoms

```
NaPu2Ge3Pt4
1.0
4.1288 0.0000 0.0000
0.0000 4.1288 0.0000
0.0000 0.0000 11.4112
Na Pu Ge Pt
1 2 3 4
Direct
0.0000 0.0000 0.0000
0.0000 0.5000 0.7440
0.5000 0.0000 0.2560
0.0000 0.5000 0.3697
0.5000 0.0000 0.6303
0.5000 0.5000 0.0000
0.0000 0.0000 0.5000
0.0000 0.5000 0.1546
0.5000 0.0000 0.8454
0.5000 0.5000 0.5000
```

No. 9
Density functional theory data (GGA-PBE) for RbNaGePt after structural relaxation.

M_tot = 0.000 μB/atom
SG = R3m (160)
Total energy = -14.02 eV/f.u.
Calculated formation energy = -6.18 kcal/mol of atoms

```
RbNaGePt
1.0
2.1487 1.2406 8.3827
-2.1487 1.2406 8.3827
0.0000 -2.4811 8.3827
Rb Na Ge Pt
1 1 1 1
Direct
0.0000 0.0000 0.0000
0.1771 0.1771 0.1771
0.7699 0.7699 0.7699
0.4370 0.4370 0.4370
```

No. 10
Density functional theory data (GGA-PBE) for Rb2NaGePt after structural relaxation.

M_tot = 0.000 μB/atom
SG = P4/mmm (123)
Total energy = -14.25 eV/f.u.
Calculated formation energy = -1.58 kcal/mol of atoms

```
Rb2NaGePt
1.0
6.7047 0.0000 0.0000
0.0000 6.7047 0.0000
0.0000 0.0000 4.7282
Rb Na Ge Pt
2 1 1 1
Direct
0.0000 0.5000 0.0000
0.5000 0.0000 0.0000
0.0000 0.0000 0.5000
0.5000 0.5000 0.5000
0.5000 0.5000 0.0000
```

No. 11
Density functional theory data (GGA-PBE) for NaGe2PtRh after structural relaxation.

M_tot = 0.000 μB/atom
SG = I-4m2 (119)
Total energy = -26.47 eV/f.u.
Calculated formation energy = -11.62 kcal/mol of atoms

```
NaGe2PtRh
1.0
-2.0671 2.0671 5.3804
2.0671 -2.0671 5.3804
2.0671 2.0671 -5.3804
Na Ge Pt Rh
1 2 1 1
Direct
0.0000 0.0000 0.0000
0.3787 0.3787 0.0000
0.6213 0.6213 0.0000
0.7500 0.2500 0.5000
0.2500 0.7500 0.5000
```

No. 12
Density functional theory data (GGA-PBE) for Na2Ge3SbPt4 after structural relaxation.

Formation energy (no corrections) = -0.45 eV per atom
M_tot = 0.000 μB/atom
SG = P-4m2 (115)
Total energy = -49.32 eV/f.u.

```
Na2Ge3SbPt4
1.0
4.4271 0.0000 0.0000
0.0000 4.4271 0.0000
0.0000 0.0000 10.3136
Na Ge Sb Pt
2 3 1 4
Direct
0.0000 0.5000 0.2379
0.5000 0.0000 0.7621
0.0000 0.5000 0.8789
0.5000 0.0000 0.1211
0.5000 0.5000 0.5000
0.0000 0.0000 0.5000
0.0000 0.0000 0.0000
0.0000 0.5000 0.6401
0.5000 0.0000 0.3599
0.5000 0.5000 0.0000
```